Entry 1:
Entry from Alexandria via LeMat-Bulk: a relaxed structure of NaEuFe4O12 (PBE with a Hubbard U).

Computed properties:
- Volume: 220 Å³ per cell
- E: -110.78 eV/cell
- Symmetry: Amm2, No. 38

Cell: 7.636 5.372 5.372 Å, 89.98 90.00 90.00°
Atoms (fractional coordinates):
Na  0.000  0.000  0.000
Eu  0.500  0.498  0.498
Fe  0.245  0.499  0.999
Fe  0.245  0.999  0.499
Fe  0.755  0.499  0.999
Fe  0.755  0.999  0.499
O  0.000  0.502  0.997
O  0.000  0.997  0.502
O  0.260  0.257  0.257
O  0.262  0.256  0.741
O  0.262  0.741  0.256
O  0.265  0.740  0.740
O  0.500  0.002  0.497
O  0.500  0.497  0.002
O  0.735  0.740  0.740
O  0.738  0.256  0.741
O  0.738  0.741  0.256
O  0.740  0.257  0.257



Entry 2:
Entry from Alexandria via LeMat-Bulk: a relaxed structure of Eu2NbFeO6 (PBE with a Hubbard U).

Computed properties:
- Volume: 129 Å³ per cell
- E: -91.28 eV/cell
- Symmetry: Fm-3m, No. 225

Cell: 5.678 5.678 5.678 Å, 60.00 60.00 60.00°
Atoms (fractional coordinates):
Eu  0.250  0.250  0.250
Eu  0.750  0.750  0.750
Nb  0.000  0.000  0.000
Fe  0.500  0.500  0.500
O  0.250  0.250  0.750
O  0.250  0.750  0.250
O  0.250  0.750  0.750
O  0.750  0.250  0.250
O  0.750  0.250  0.750
O  0.750  0.750  0.250



Entry 3:
Entry from Alexandria via LeMat-Bulk: a relaxed structure of SrEuNbFeO6 (PBE with a Hubbard U).

Computed properties:
- Volume: 130 Å³ per cell
- E: -80.05 eV/cell
- Symmetry: F-43m, No. 216

Cell: 5.681 5.681 5.681 Å, 60.00 60.00 60.00°
Atoms (fractional coordinates):
Sr  0.000  0.000  0.000
Eu  0.500  0.500  0.500
Nb  0.250  0.250  0.250
Fe  0.750  0.750  0.750
O  0.001  0.001  0.499
O  0.001  0.499  0.001
O  0.001  0.499  0.499
O  0.499  0.001  0.001
O  0.499  0.001  0.499
O  0.499  0.499  0.001



Which of these has the highest volume? NaEuFe4O12



Which of these has the highest E? SrEuNbFeO6